(1)
Compound: NdLuPb
Source: the Alexandria database
Functional: PBE
Structure: relaxed

Output
The value obtained for the energy of formation is -0.279 eV/atom. The energy above the lowest structure with this stoichiometry is 0 meV/atom. The spin magnetization is 0.000 μB/atom.

Lattice parameters (Å, degrees): 7.4240 7.4240 7.4240 151.71 151.71 40.43
With the nearest neighbours (Å) after each atom.
Fractional positions:
Nd1 0.0000 0.0000 0.0000  4 Pb 3.46, 4 Lu 3.60, 4 Nd 3.63
Lu1 0.3188 0.3188 0.0000  4 Pb 3.33, 4 Nd 3.60, 4 Lu 3.63
Pb1 0.6662 0.6662 0.0000  4 Lu 3.33, 4 Nd 3.46, 4 Pb 3.63

(2)
Compound: SiNi4Te
Source: the Alexandria database
Functional: PBE
Structure: relaxed

Output
The uncorrected formation energy comes out at 1.17 eV/f.u. The spin magnetization is 0.271 μB/atom.

Lattice parameters (Å, degrees): 4.8522 4.8522 4.8522 60.00 60.00 60.00
With the nearest neighbours (Å) after each atom.
Fractional positions:
Si1 0.0000 0.0000 0.0000  12 Ni 2.84, 4 Te 2.97
Ni1 0.1231 0.6256 0.6256  6 Ni 2.41-2.44
Ni2 0.6256 0.1231 0.6256  6 Ni 2.41-2.44
Ni3 0.6256 0.6256 0.1231  6 Ni 2.41-2.44
Ni4 0.6256 0.6256 0.6256  6 Ni 2.41-2.44
Te1 0.2500 0.2500 0.2500  12 Ni 2.85, 4 Si 2.97

(3)
Compound: NaDyPuCl6
Source: the Alexandria database
Functional: PBE
Structure: relaxed

Output
The uncorrected formation energy comes out at -17.81 eV/f.u. The spin magnetization is 0.667 μB/atom.

Lattice parameters (Å, degrees): 6.9702 6.9702 12.4716 90.00 90.00 120.00
With the nearest neighbours (Å) after each atom.
Fractional positions:
Na1 0.3333 0.6667 0.2500  6 Cl 2.83
Na2 0.6667 0.3333 0.7500  6 Cl 2.83
Dy1 0.3333 0.6667 0.7500  6 Cl 2.66
Dy2 0.6667 0.3333 0.2500  6 Cl 2.66
Pu1 0.0000 0.0000 0.0000  6 Cl 2.88
Pu2 0.0000 0.0000 0.5000  6 Cl 2.88
Cl1 0.0182 0.3509 0.6293  1 Dy 2.66, 1 Na 2.83, 1 Pu 2.88
Cl2 0.0182 0.6674 0.8707  1 Dy 2.66, 1 Na 2.83, 1 Pu 2.88
Cl3 0.3326 0.3509 0.8707  1 Dy 2.66, 1 Na 2.83, 1 Pu 2.88
Cl4 0.3326 0.9818 0.6293  1 Dy 2.66, 1 Na 2.83, 1 Pu 2.88
Cl5 0.3509 0.0182 0.1293  1 Dy 2.66, 1 Na 2.83, 1 Pu 2.88
Cl6 0.3509 0.3326 0.3707  1 Dy 2.66, 1 Na 2.83, 1 Pu 2.88
Cl7 0.6491 0.6674 0.6293  1 Dy 2.66, 1 Na 2.83, 1 Pu 2.88
Cl8 0.6491 0.9818 0.8707  1 Dy 2.66, 1 Na 2.83, 1 Pu 2.88
Cl9 0.6674 0.0182 0.3707  1 Dy 2.66, 1 Na 2.83, 1 Pu 2.88
Cl10 0.6674 0.6491 0.1293  1 Dy 2.66, 1 Na 2.83, 1 Pu 2.88
Cl11 0.9818 0.3326 0.1293  1 Dy 2.66, 1 Na 2.83, 1 Pu 2.88
Cl12 0.9818 0.6491 0.3707  1 Dy 2.66, 1 Na 2.83, 1 Pu 2.88

(4)
Compound: SmCuAg2
Source: the Alexandria database
Functional: PBE
Structure: relaxed

Output
The value obtained for the energy of formation is -0.209 eV/atom. The energy above the lowest structure with this stoichiometry is 0 meV/atom. The spin magnetization is 0.000 μB/atom.

Lattice parameters (Å, degrees): 7.1540 7.1540 5.2879 100.68 100.68 136.28
With the nearest neighbours (Å) after each atom.
Fractional positions:
Sm1 0.1363 0.8637 0.7500  4 Cu 3.04-3.06, 8 Ag 3.09-3.29
Sm2 0.8637 0.1363 0.2500  4 Cu 3.04-3.06, 8 Ag 3.09-3.29
Cu1 0.2498 0.7502 0.2500  2 Cu 2.66, 4 Ag 2.67-2.71
Cu2 0.7502 0.2498 0.7500  2 Cu 2.66, 4 Ag 2.67-2.71
Ag1 0.2430 0.4106 0.9065  2 Cu 2.67-2.71, 1 Ag 2.74
Ag2 0.4106 0.2430 0.4065  2 Cu 2.67-2.71, 1 Ag 2.74
Ag3 0.5894 0.7570 0.5935  2 Cu 2.67-2.71, 1 Ag 2.74
Ag4 0.7570 0.5894 0.0935  2 Cu 2.67-2.71, 1 Ag 2.74

(5)
Compound: La6CePm2Nd
Source: the Alexandria database
Functional: PBE
Structure: relaxed

Output
The value obtained for the energy of formation is 0.201 eV/atom. The spin magnetization is 0.104 μB/atom.

Lattice parameters (Å, degrees): 6.7324 6.7324 9.0706 101.35 101.35 64.41
With the nearest neighbours (Å) after each atom.
Fractional positions:
La1 0.0921 0.5625 0.2036  1 Pm 3.20, 1 La 3.38, 1 Nd 3.39, 1 Ce 3.55
La2 0.1271 0.1271 0.4151  7 La 3.58-3.99, 1 Ce 3.71, 2 Nd 4.01
La3 0.4375 0.9079 0.7964  1 Pm 3.20, 1 La 3.38, 1 Nd 3.39, 1 Ce 3.55
La4 0.5625 0.0921 0.2036  1 Pm 3.20, 1 La 3.38, 1 Nd 3.39, 1 Ce 3.55
La5 0.8729 0.8729 0.5849  7 La 3.58-3.99, 1 Ce 3.71, 2 Nd 4.01
La6 0.9079 0.4375 0.7964  1 Pm 3.20, 1 La 3.38, 1 Nd 3.39, 1 Ce 3.55
Ce1 0.0000 0.0000 0.0000  6 La 3.55-3.71, 4 Pm 3.92
Pm1 0.4045 0.4045 0.8435  1 Pm 3.15, 2 La 3.20
Pm2 0.5955 0.5955 0.1565  1 Pm 3.15, 2 La 3.20
Nd1 0.5000 0.5000 0.5000  4 La 3.39, 2 Pm 3.53

(6)
Compound: AlF3
Source: the Alexandria database
Functional: PBE
Structure: relaxed

Output
The uncorrected formation energy comes out at -14.21 eV/f.u. The spin magnetization is 0.000 μB/atom.

Lattice parameters (Å, degrees): 5.1086 5.1086 5.1086 58.95 58.95 58.95
With the nearest neighbours (Å) after each atom.
Fractional positions:
Al1 0.0000 0.0000 0.0000  6 F 1.82
Al2 0.5000 0.5000 0.5000  6 F 1.82
F1 0.1850 0.7500 0.3150  2 Al 1.82
F2 0.2500 0.6850 0.8150  2 Al 1.82
F3 0.3150 0.1850 0.7500  2 Al 1.82
F4 0.6850 0.8150 0.2500  2 Al 1.82
F5 0.7500 0.3150 0.1850  2 Al 1.82
F6 0.8150 0.2500 0.6850  2 Al 1.82

(7)
Compound: Mn2ReNi
Source: the Alexandria database
Functional: PBE
Structure: relaxed

Output
The value obtained for the energy of formation is 0.130 eV/atom. The spin magnetization is 0.438 μB/atom.

Lattice parameters (Å, degrees): 3.0667 3.0667 5.3221 90.00 90.00 90.00
With the nearest neighbours (Å) after each atom.
Fractional positions:
Mn1 0.0000 0.0000 0.0000  4 Re 2.55, 4 Mn 2.56, 2 Ni 2.58-2.75
Mn2 0.5000 0.5000 0.2553  4 Ni 2.49, 4 Mn 2.56, 2 Re 2.62-2.70
Re1 0.5000 0.5000 0.7484  6 Mn 2.55-2.70, 4 Ni 2.59
Ni1 0.0000 0.0000 0.4840  6 Mn 2.49-2.75, 4 Re 2.59

(8)
Compound: Ga2NiSnPb
Source: the Alexandria database
Functional: PBE
Structure: relaxed

Output
The value obtained for the energy of formation is -0.010 eV/atom. The spin magnetization is 0.000 μB/atom.

Lattice parameters (Å, degrees): 4.6725 4.6725 5.1905 90.00 90.00 90.00
With the nearest neighbours (Å) after each atom.
Fractional positions:
Ga1 0.0000 0.5000 0.0000  2 Ni 2.34
Ga2 0.5000 0.0000 0.0000  2 Ni 2.34
Ni1 0.0000 0.0000 0.0000  4 Ga 2.34, 2 Sn 2.60
Sn1 0.0000 0.0000 0.5000  2 Ni 2.60
Pb1 0.5000 0.5000 0.5000  4 Sn 3.30, 8 Ga 3.49